GaHPd3: relaxed, PBE.

Cell lengths 4.688, 4.688, 4.688 Å; angles 112.32, 112.32, 112.32 degrees
Element x y z (fractional)
Ga1 0.000 0.000 0.000
H1 0.502 0.502 0.502
Pd1 0.369 0.369 0.761
Pd2 0.369 0.761 0.369
Pd3 0.761 0.369 0.369

Uncorrected energy: -4.476 eV/atom
DOS at the Fermi energy: 0.352 states/eV/atom
Symmetry: R3m
Energy above the lowest structure with this stoichiometry: 364 meV per atom